Entry 1:
Entry from Alexandria via LeMat-Bulk: a geometry-optimized Nd3ErIn4 structure (PBE).

Lattice parameters (Å, degrees): 3.592 7.099 10.425 109.94 99.92 90.00
Fractional positions:
In  0.625  0.842  0.250
In  0.375  0.592  0.751
In  0.625  0.408  0.249
In  0.375  0.158  0.750
Nd  0.779  0.778  0.557
Nd  0.221  0.222  0.443
Nd  0.000  0.500  0.000
Er  0.500  0.000  0.000

Calculated values
* space-group type: Immm (71)

Entry 2:
Entry from Alexandria via LeMat-Bulk: a geometry-optimized Nd12Er6In structure (PBE).

Lattice parameters (Å, degrees): 8.727 8.727 8.727 97.97 97.97 97.97
Fractional positions:
Er  0.405  0.137  0.137
Er  0.863  0.595  0.863
Er  0.137  0.405  0.137
Er  0.137  0.137  0.405
Er  0.863  0.863  0.595
Er  0.595  0.863  0.863
Nd  0.259  0.000  0.741
Nd  0.421  0.828  0.421
Nd  0.000  0.741  0.259
Nd  0.828  0.421  0.421
Nd  0.741  0.259  0.000
Nd  0.579  0.172  0.579
Nd  0.741  0.000  0.259
Nd  0.259  0.741  0.000
Nd  0.421  0.421  0.828
Nd  0.172  0.579  0.579
Nd  0.000  0.259  0.741
Nd  0.579  0.579  0.172
In  0.000  0.000  0.000

Calculated values
* space-group type: R-3m (166)

Entry 3:
Entry from Alexandria via LeMat-Bulk: a geometry-optimized Nd4Er15In structure (PBE).

Lattice parameters (Å, degrees): 4.963 4.963 25.066 90.00 90.00 90.00
Fractional positions:
Er  0.500  0.000  0.905
Er  0.500  0.500  0.806
Er  0.500  0.500  0.000
Er  0.500  0.500  0.398
Er  0.500  0.000  0.298
Er  0.000  0.500  0.095
Er  0.500  0.500  0.602
Er  0.500  0.000  0.500
Er  0.500  0.500  0.194
Er  0.000  0.500  0.298
Er  0.000  0.500  0.905
Er  0.000  0.500  0.702
Er  0.500  0.000  0.095
Er  0.500  0.000  0.702
Er  0.000  0.500  0.500
Nd  0.000  0.000  0.399
Nd  0.000  0.000  0.601
Nd  0.000  0.000  0.803
Nd  0.000  0.000  0.197
In  0.000  0.000  0.000

Calculated values
* space-group type: P4/mmm (123)

Entry 4:
Entry from Alexandria via LeMat-Bulk: a geometry-optimized Nd2Er2In structure (PBE).

Lattice parameters (Å, degrees): 4.230 8.599 8.599 90.00 90.00 90.00
Fractional positions:
In  0.000  0.000  0.000
In  0.000  0.500  0.500
Er  0.500  0.846  0.654
Er  0.500  0.654  0.154
Er  0.500  0.346  0.846
Er  0.500  0.154  0.346
Nd  0.000  0.851  0.351
Nd  0.000  0.351  0.149
Nd  0.000  0.649  0.851
Nd  0.000  0.149  0.649

Calculated values
* space-group type: P4/mbm (127)

Entry 5:
Entry from Alexandria via LeMat-Bulk: a geometry-optimized Nd3Er4In structure (PBE).

Lattice parameters (Å, degrees): 3.417 5.850 13.079 97.61 97.51 90.00
Fractional positions:
Er  0.100  0.175  0.200
Er  0.900  0.825  0.800
Er  0.717  0.235  0.435
Er  0.283  0.765  0.565
In  0.500  0.000  0.000
Nd  0.151  0.708  0.301
Nd  0.000  0.500  0.000
Nd  0.849  0.292  0.699

Calculated values
* space-group type: C2/m (12)

Entry 6:
Entry from Alexandria via LeMat-Bulk: a geometry-optimized Nd5Er4In structure (PBE).

Lattice parameters (Å, degrees): 5.950 8.092 8.092 82.23 68.43 68.43
Fractional positions:
Nd  0.140  0.624  0.000
Nd  0.672  0.000  0.000
Nd  0.764  0.376  0.000
Nd  0.764  0.000  0.376
Nd  0.140  0.000  0.624
In  0.192  0.000  0.000
Er  0.140  0.320  0.320
Er  0.460  0.680  0.320
Er  0.460  0.320  0.680
Er  0.780  0.680  0.680

Calculated values
* space-group type: I4mm (107)

Entry 7:
Entry from Alexandria via LeMat-Bulk: a geometry-optimized Nd3Er2In7 structure (PBE).

Lattice parameters (Å, degrees): 4.902 4.856 15.030 99.30 90.00 90.00
Fractional positions:
In  0.000  0.579  0.157
In  0.000  0.000  0.000
In  0.500  0.921  0.841
In  0.000  0.273  0.546
In  0.000  0.727  0.454
In  0.000  0.421  0.843
In  0.500  0.079  0.159
Er  0.000  0.156  0.312
Er  0.000  0.844  0.688
Nd  0.500  0.348  0.696
Nd  0.500  0.652  0.304
Nd  0.500  0.500  0.000

Calculated values
* space-group type: Cmmm (65)

Entry 8:
Entry from Alexandria via LeMat-Bulk: a geometry-optimized Nd3ErIn4 structure (PBE).

Lattice parameters (Å, degrees): 3.819 3.819 15.539 90.00 90.00 90.00
Fractional positions:
In  0.000  0.000  0.114
In  0.000  0.000  0.886
In  0.000  0.000  0.628
In  0.000  0.000  0.372
Er  0.500  0.500  0.000
Nd  0.500  0.500  0.243
Nd  0.500  0.500  0.757
Nd  0.500  0.500  0.500

Calculated values
* space-group type: P4/mmm (123)

Entry 9:
Entry from Alexandria via LeMat-Bulk: a geometry-optimized Nd2Er2In structure (PBE).

Lattice parameters (Å, degrees): 5.155 5.155 8.816 73.00 73.00 60.00
Fractional positions:
Nd  0.435  0.435  0.695
Nd  0.565  0.565  0.305
In  0.000  0.000  0.000
Er  0.300  0.300  0.100
Er  0.700  0.700  0.900

Calculated values
* space-group type: R-3m (166)

Entry 10:
Entry from Alexandria via LeMat-Bulk: a geometry-optimized Nd2ErIn3 structure (PBE).

Lattice parameters (Å, degrees): 5.822 8.008 8.008 101.03 90.00 90.00
Fractional positions:
In  0.500  0.791  0.209
In  0.750  0.416  0.416
In  0.250  0.584  0.584
In  0.000  0.209  0.791
In  0.500  0.209  0.791
In  0.000  0.791  0.209
Nd  0.250  0.421  0.146
Nd  0.250  0.146  0.421
Nd  0.750  0.579  0.854
Nd  0.750  0.854  0.579
Er  0.750  0.103  0.103
Er  0.250  0.897  0.897

Calculated values
* space-group type: Cmcm (63)

Entry 11:
Entry from Alexandria via LeMat-Bulk: a geometry-optimized NdEr4In structure (PBE).

Lattice parameters (Å, degrees): 5.365 11.011 6.679 90.00 113.68 90.00
Fractional positions:
Er  0.996  0.702  0.991
Er  0.822  0.445  0.645
Er  0.675  0.161  0.350
Er  0.004  0.202  0.009
Er  0.522  0.441  0.043
Er  0.478  0.941  0.957
Er  0.325  0.661  0.650
Er  0.178  0.945  0.355
In  0.148  0.456  0.295
In  0.852  0.956  0.705
Nd  0.319  0.229  0.638
Nd  0.681  0.729  0.362

Calculated values
* space-group type: Cmc2_1 (36)

Entry 12:
Entry from Alexandria via LeMat-Bulk: a geometry-optimized Nd14ErIn structure (PBE).

Lattice parameters (Å, degrees): 7.248 7.248 10.320 90.00 90.00 90.00
Fractional positions:
Nd  0.874  0.625  0.000
Nd  0.127  0.873  0.756
Nd  0.623  0.377  0.755
Nd  0.875  0.625  0.500
Nd  0.375  0.125  0.500
Nd  0.127  0.873  0.244
Nd  0.375  0.625  0.500
Nd  0.875  0.125  0.500
Nd  0.623  0.377  0.245
Nd  0.623  0.873  0.755
Nd  0.375  0.126  0.000
Nd  0.623  0.873  0.245
Nd  0.127  0.377  0.245
Nd  0.127  0.377  0.755
In  0.375  0.625  0.000
Er  0.875  0.125  0.000

Calculated values
* space-group type: Amm2 (38)

Entry 13:
Entry from Alexandria via LeMat-Bulk: a geometry-optimized NdErIn4 structure (PBE).

Lattice parameters (Å, degrees): 3.629 3.629 12.259 89.98 89.98 86.15
Fractional positions:
Nd  0.000  0.000  0.000
Er  0.500  0.500  0.500
In  0.499  0.499  0.181
In  0.000  0.000  0.332
In  0.000  0.000  0.668
In  0.501  0.501  0.819

Calculated values
* space-group type: Cmmm (65)

Entry 14:
Entry from Alexandria via LeMat-Bulk: a geometry-optimized Nd15Er4In structure (PBE).

Lattice parameters (Å, degrees): 5.103 5.103 25.701 90.00 90.00 90.00
Fractional positions:
Nd  0.500  0.500  0.198
Nd  0.000  0.500  0.097
Nd  0.500  0.500  0.399
Nd  0.000  0.500  0.299
Nd  0.000  0.500  0.500
Nd  0.000  0.500  0.701
Nd  0.500  0.000  0.701
Nd  0.500  0.000  0.903
Nd  0.500  0.000  0.097
Nd  0.500  0.500  0.601
Nd  0.500  0.500  0.802
Nd  0.500  0.000  0.500
Nd  0.000  0.500  0.903
Nd  0.500  0.000  0.299
Nd  0.500  0.500  0.000
Er  0.000  0.000  0.600
Er  0.000  0.000  0.802
Er  0.000  0.000  0.400
Er  0.000  0.000  0.198
In  0.000  0.000  0.000

Calculated values
* space-group type: P4/mmm (123)

Entry 15:
Entry from Alexandria via LeMat-Bulk: a geometry-optimized NdErIn structure (PBE).

Lattice parameters (Å, degrees): 3.595 3.595 7.368 104.12 104.12 90.00
Fractional positions:
In  0.945  0.945  0.890
Er  0.298  0.298  0.596
Nd  0.607  0.607  0.214

Calculated values
* space-group type: I4mm (107)

Entry 16:
Entry from Alexandria via LeMat-Bulk: a geometry-optimized Nd12Er2In structure (PBE).

Lattice parameters (Å, degrees): 6.715 6.715 23.923 90.00 90.00 90.00
Fractional positions:
Nd  0.500  0.500  0.672
Nd  0.753  0.253  0.092
Nd  0.247  0.253  0.908
Nd  0.747  0.753  0.092
Nd  0.667  0.167  0.434
Nd  0.753  0.747  0.908
Nd  0.833  0.333  0.566
Nd  0.000  0.000  0.328
Nd  0.167  0.667  0.566
Nd  0.000  0.000  0.201
Nd  0.833  0.667  0.434
Nd  0.000  0.000  0.672
Nd  0.333  0.833  0.434
Nd  0.247  0.747  0.092
Nd  0.333  0.167  0.566
Nd  0.667  0.833  0.566
Nd  0.253  0.247  0.092
Nd  0.500  0.500  0.799
Nd  0.747  0.247  0.908
Nd  0.500  0.500  0.328
Nd  0.253  0.753  0.908
Nd  0.000  0.000  0.799
Nd  0.167  0.333  0.434
Nd  0.500  0.500  0.201
Er  0.000  0.500  0.253
Er  0.500  0.000  0.747
Er  0.000  0.500  0.747
Er  0.500  0.000  0.253
In  0.000  0.500  0.000
In  0.500  0.000  0.000

Calculated values
* space-group type: P4/nbm (125)

Entry 17:
Entry from Alexandria via LeMat-Bulk: a geometry-optimized Nd2Er5In5 structure (PBE).

Lattice parameters (Å, degrees): 5.059 6.569 11.855 107.41 90.00 112.65
Fractional positions:
In  0.831  0.662  0.531
In  0.249  0.498  0.215
In  0.751  0.502  0.785
In  0.000  0.000  0.000
In  0.169  0.338  0.469
Nd  0.925  0.850  0.244
Nd  0.075  0.150  0.756
Er  0.349  0.698  0.996
Er  0.371  0.741  0.721
Er  0.651  0.302  0.004
Er  0.629  0.259  0.279
Er  0.500  0.000  0.500

Calculated values
* space-group type: C2/m (12)

Entry 18:
Entry from Alexandria via LeMat-Bulk: a geometry-optimized Nd3ErIn2 structure (PBE).

Lattice parameters (Å, degrees): 5.035 9.198 9.399 119.29 105.53 90.00
Fractional positions:
Nd  0.827  0.076  0.653
Nd  0.173  0.424  0.347
Nd  0.827  0.576  0.653
Nd  0.500  0.750  0.000
Nd  0.500  0.250  0.000
Nd  0.173  0.924  0.347
Er  0.000  0.500  0.000
Er  0.000  0.000  0.000
In  0.346  0.346  0.692
In  0.654  0.654  0.308
In  0.654  0.154  0.308
In  0.346  0.846  0.692

Calculated values
* space-group type: Cmmm (65)

Entry 19:
Entry from Alexandria via LeMat-Bulk: a geometry-optimized NdEr8In6 structure (PBE).

Lattice parameters (Å, degrees): 9.024 9.024 8.288 57.01 57.01 60.00
Fractional positions:
Er  0.780  0.114  0.661
Er  0.555  0.220  0.339
Er  0.114  0.445  0.661
Er  0.886  0.555  0.339
Er  0.667  0.667  0.998
Er  0.220  0.886  0.339
Er  0.445  0.780  0.661
Er  0.333  0.333  0.002
In  0.060  0.721  0.819
In  0.940  0.279  0.181
In  0.400  0.060  0.819
In  0.600  0.940  0.181
In  0.721  0.400  0.819
In  0.279  0.600  0.181
Nd  0.000  0.000  0.000

Calculated values
* space-group type: R-3 (148)

Entry 20:
Entry from Alexandria via LeMat-Bulk: a geometry-optimized Nd5Er8In structure (PBE).

Lattice parameters (Å, degrees): 8.421 8.421 8.421 110.42 107.59 110.42
Fractional positions:
Er  0.340  0.273  0.442
Er  0.662  0.395  0.919
Er  0.170  0.727  0.067
Er  0.733  0.257  0.338
Er  0.558  0.898  0.830
Er  0.524  0.605  0.267
Er  0.081  0.743  0.476
Er  0.933  0.102  0.660
In  0.250  0.500  0.750
Nd  0.500  0.000  0.500
Nd  0.294  0.111  0.979
Nd  0.817  0.685  0.706
Nd  0.868  0.889  0.183
Nd  0.021  0.315  0.132

Calculated values
* space-group type: I-4 (82)

E_form, respectively: -30; 8; -2; 7; 7; 15; -24; -47; 40; -22; -12; -4; -27; -4; -28; 23; -29; -30; -19; 17 kJ per mole of atoms.